Record 1
## TbYHg4 (PBE)

Data for TbYHg4 after structural relaxation.

The space group is F-43m (No. 216) and the conventional cell measures 8.4181, 8.4181 and 8.4181 Å, with angles of 90.00, 90.00 and 90.00 degrees. The inequivalent atoms are Tb at (0.0000, 0.0000, 0.0000), Y at (0.2500, 0.2500, 0.7500) and Hg at (0.1250, 0.1250, 0.3750).

The calculation puts the uncorrected energy at -2.261 eV per atom. The value obtained for the energy above the most stable polymorph in this dataset is 0.195 eV per atom. For the formation energy, the calculation gives -211 meV per atom.


Record 2
## TbY4Hg2 (PBE)

Data for TbY4Hg2 after structural relaxation.

The space group is R-3m (No. 166, hexagonal axes) and the conventional cell measures 5.0880, 5.0880 and 30.2214 Å, with angles of 90.00, 90.00 and 120.00 degrees. The inequivalent atoms are Tb at (0.0000, 0.0000, 0.0000), Y at (0.0000, 0.0000, 0.2037), Y at (0.0000, 0.0000, 0.3924) and Hg at (0.0000, 0.0000, 0.1009).

The calculation puts the uncorrected energy at -4.434 eV per atom. For the formation energy, the calculation gives 7 meV per atom.


Record 3
## TbY5Hg6 (PBE)

Data for TbY5Hg6 after structural relaxation.

The space group is P2/m (No. 10) and the conventional cell measures 5.2605, 7.4746 and 8.3325 Å, with angles of 90.00, 108.10 and 90.00 degrees. The inequivalent atoms are Tb at (0.0000, 0.0000, 0.0000), Y at (0.0000, 0.5000, 0.0000), Y at (0.3329, 0.0000, 0.6661), Y at (0.3337, 0.5000, 0.6674), Hg at (0.1667, 0.2505, 0.3335) and Hg at (0.5000, 0.2496, 0.0000).

The calculation puts the uncorrected energy at -3.737 eV per atom. For the formation energy, the calculation gives -507 meV per atom.


Record 4
## TbY2Hg8 (PBE)

Data for TbY2Hg8 after structural relaxation.

The space group is C2/m (No. 12) and the conventional cell measures 15.2699, 7.5092 and 5.0823 Å, with angles of 90.00, 109.37 and 90.00 degrees. The inequivalent atoms are Tb at (0.0000, 0.0000, 0.0000), Y at (0.1957, 0.5000, 0.6955), Hg at (0.0000, 0.2919, 0.5000), Hg at (0.1447, 0.2904, 0.1450) and Hg at (0.1564, 0.0000, 0.6565).

The calculation puts the uncorrected energy at -2.129 eV per atom. For the formation energy, the calculation gives -313 meV per atom.


Record 5
## Tb8YHg2 (PBE)

Data for Tb8YHg2 after structural relaxation.

The space group is C2/m (No. 12) and the conventional cell measures 8.8244, 14.9617 and 5.5643 Å, with angles of 90.00, 110.90 and 90.00 degrees. The inequivalent atoms are Tb at (0.0000, 0.2248, 0.0000), Tb at (0.1010, 0.5000, 0.7995), Tb at (0.2065, 0.1142, 0.6057), Y at (0.0000, 0.0000, 0.0000) and Hg at (0.0000, 0.3059, 0.5000).

The calculation puts the uncorrected energy at -4.060 eV per atom. For the formation energy, the calculation gives -50 meV per atom.


Record 6
## Tb6Y2Hg (PBE)

Data for Tb6Y2Hg after structural relaxation.

The space group is Cmmm (No. 65) and the conventional cell measures 9.3348, 17.3151 and 3.5621 Å, with angles of 90.00, 90.00 and 90.00 degrees. The inequivalent atoms are Tb at (0.1756, 0.1620, 0.0000), Tb at (0.2057, 0.5000, 0.5000), Y at (0.0000, 0.3197, 0.5000) and Hg at (0.0000, 0.0000, 0.0000).

The calculation puts the uncorrected energy at -4.529 eV per atom. For the formation energy, the calculation gives 28 meV per atom.